1.
# Nd2SmS4

Crystalline Nd2SmS4 at its relaxed geometry (PBE, the Alexandria database).

The structure in CIF format:
```
data_Nd2SmS4
_chemical_formula_sum 'Nd8 Sm4 S16'
_cell_length_a 3.924
_cell_length_b 13.482
_cell_length_c 13.473
_cell_angle_alpha 90.00
_cell_angle_beta 90.00
_cell_angle_gamma 90.00
_space_group_name_H-M_alt 'C m c m'
_space_group_IT_number 63
_space_group_name_Hall '-C 2c 2'
loop_
_atom_site_label
_atom_site_type_symbol
_atom_site_fract_x
_atom_site_fract_y
_atom_site_fract_z
_atom_site_occupancy
Nd1 Nd 0.000 0.129 0.071 1
Sm1 Sm 0.000 0.373 0.250 1
S1 S 0.000 0.023 0.250 1
S2 S 0.000 0.222 0.624 1
S3 S 0.000 0.500 0.000 1
```


2.
# Nd2SmS4

Crystalline Nd2SmS4 at its relaxed geometry (PBE, the Alexandria database).

The structure in CIF format:
```
data_Nd2SmS4
_chemical_formula_sum 'Nd8 Sm4 S16'
_cell_length_a 8.522
_cell_length_b 8.522
_cell_length_c 8.621
_cell_angle_alpha 90.00
_cell_angle_beta 90.00
_cell_angle_gamma 90.00
_space_group_name_H-M_alt 'I -4 2 d'
_space_group_IT_number 122
_space_group_name_Hall 'I -4 2bw'
loop_
_atom_site_label
_atom_site_type_symbol
_atom_site_fract_x
_atom_site_fract_y
_atom_site_fract_z
_atom_site_occupancy
Nd1 Nd 0.117 0.750 0.125 1
Sm1 Sm 0.000 0.000 0.500 1
S1 S 0.074 0.679 0.451 1
```


Which one sits at the bottom of the stability order? 2 does.


1.
# NdSm3S4

Crystalline NdSm3S4 at its relaxed geometry (PBE, the Alexandria database).

The structure in CIF format:
```
data_NdSm3S4
_chemical_formula_sum 'Nd2 Sm6 S8'
_cell_length_a 5.689
_cell_length_b 5.689
_cell_length_c 11.395
_cell_angle_alpha 90.00
_cell_angle_beta 90.00
_cell_angle_gamma 90.00
_space_group_name_H-M_alt 'I 4/m m m'
_space_group_IT_number 139
_space_group_name_Hall '-I 4 2'
loop_
_atom_site_label
_atom_site_type_symbol
_atom_site_fract_x
_atom_site_fract_y
_atom_site_fract_z
_atom_site_occupancy
Nd1 Nd 0.000 0.000 0.000 1
Sm1 Sm 0.000 0.000 0.500 1
Sm2 Sm 0.000 0.500 0.250 1
S1 S 0.000 0.000 0.252 1
S2 S 0.000 0.500 0.000 1
```


2.
# NdSm3S4

Crystalline NdSm3S4 at its relaxed geometry (PBE, the Alexandria database).

The structure in CIF format:
```
data_NdSm3S4
_chemical_formula_sum 'Nd1 Sm3 S4'
_cell_length_a 5.693
_cell_length_b 5.693
_cell_length_c 5.693
_cell_angle_alpha 90.00
_cell_angle_beta 90.00
_cell_angle_gamma 90.00
_space_group_name_H-M_alt 'P m -3 m'
_space_group_IT_number 221
_space_group_name_Hall '-P 4 2 3'
loop_
_atom_site_label
_atom_site_type_symbol
_atom_site_fract_x
_atom_site_fract_y
_atom_site_fract_z
_atom_site_occupancy
Nd1 Nd 0.000 0.000 0.000 1
Sm1 Sm 0.000 0.500 0.500 1
S1 S 0.000 0.000 0.500 1
S2 S 0.500 0.500 0.500 1
```


Which one sits at the bottom of the stability order? 2 does.